Record 1
VPH5O7 | GGA+U | optimized geometry

DFT total energy = -342.11 eV for the cell shown
density of states at the Fermi level = 0.00 states/eV/cell
magnetic moment = 1.0 μB per formula unit
calculated volume = 9.51 Å³ per atom
density = 2.48 g/cm3

a b c (Å): 7.814 7.089 9.785
angles (deg): 90.00 100.80 90.00
Space group P2_1/c (No. 14)
Inequivalent atoms, fractional coordinates:
V (0.042, 0.131, 0.243)
P (0.228, 0.651, 0.997)
H (0.197, 0.113, 0.053)
H (0.312, 0.539, 0.211)
H (0.406, 0.007, 0.201)
H (0.476, 0.710, 0.582)
H (0.491, 0.151, 0.696)
O (0.043, 0.133, 0.791)
O (0.108, 0.686, 0.443)
O (0.192, 0.032, 0.418)
O (0.212, 0.621, 0.157)
O (0.238, 0.114, 0.154)
O (0.425, 0.705, 0.001)
O (0.480, 0.073, 0.777)

---

Record 2
VPHO2 | GGA+U | optimized geometry

DFT total energy = -25.07 eV for the cell shown
density of states at the Fermi level = 1.01 states/eV/cell
magnetic moment = 2.8 μB per formula unit
calculated volume = 9.51 Å³ per atom
density = 4.01 g/cm3

a b c (Å): 3.996 3.996 2.978
angles (deg): 90.00 90.00 90.00
Space group P4/mmm (No. 123)
Inequivalent atoms, fractional coordinates:
V (0.000, 0.000, 0.000)
P (0.500, 0.500, 0.000)
H (0.500, 0.500, 0.500)
O (0.000, 0.500, 0.500)

---

Record 3
VPHO2 | GGA+U | optimized geometry

DFT total energy = -27.31 eV for the cell shown
density of states at the Fermi level = 2.09 states/eV/cell
magnetic moment = 0.3 μB per formula unit
calculated volume = 13.36 Å³ per atom
density = 2.86 g/cm3

a b c (Å): 3.587 3.587 5.191
angles (deg): 90.00 90.00 90.00
Space group P4/mmm (No. 123)
Inequivalent atoms, fractional coordinates:
V (0.000, 0.000, 0.000)
P (0.000, 0.000, 0.500)
H (0.500, 0.500, 0.500)
O (0.000, 0.500, 0.000)